# KIr2Rh

A relaxed structure of KIr2Rh (GGA-PBEsol, Alexandria via LeMat-Bulk).

The structure in POSCAR format:
```
KIr2Rh
1.0
-1.323 2.247 -0.465
-2.933 -2.015 -1.397
-3.017 -0.359 6.851
Ir K Rh
2 1 1
direct
0.000 0.000 0.669
0.000 0.000 0.331
0.500 0.500 0.000
0.500 0.500 0.500
```

## Properties
* excess energy over the best structure of this formula in the dataset: 0 meV per atom
* calculated formation energy: 0.6874 eV/atom

# Na5As4

A relaxed structure of Na5As4 (GGA-PBEsol, Alexandria via LeMat-Bulk).

The structure in POSCAR format:
```
Na5As4
1.0
4.610 0.000 0.000
2.305 5.215 -0.026
2.305 1.926 8.913
Na As
5 4
direct
0.000 0.000 0.000
0.899 0.815 0.387
0.754 0.655 0.836
0.246 0.345 0.164
0.101 0.185 0.613
0.456 0.257 0.830
0.393 0.607 0.608
0.607 0.393 0.392
0.544 0.743 0.170
```

## Properties
* calculated formation energy: -0.3715 eV/atom

# SiSb2Au

A relaxed structure of SiSb2Au (GGA-PBEsol, Alexandria via LeMat-Bulk).

The structure in POSCAR format:
```
SiSb2Au
1.0
-1.447 -0.550 -3.440
-0.856 -3.718 0.954
-4.282 3.898 3.246
Sb Si Au
2 1 1
direct
0.024 0.024 0.048
0.222 0.722 0.444
0.449 0.449 0.898
0.805 0.305 0.611
```

## Properties
* ΔE_f (raw): 0.205 eV per atom

# BaTaCo2

A relaxed structure of BaTaCo2 (GGA-PBEsol, Alexandria via LeMat-Bulk).

The structure in POSCAR format:
```
BaTaCo2
1.0
-1.982 3.413 0.557
-1.901 -3.491 0.366
3.380 1.033 5.700
Co Ba Ta
2 1 1
direct
0.730 0.460 0.189
0.061 0.122 0.184
0.263 0.527 0.789
0.446 0.891 0.337
```

## Properties
* excess energy over the best structure of this formula in the dataset: 0 meV per atom
* calculated formation energy: 0.4008 eV/atom

# ScTeBr4

A relaxed structure of ScTeBr4 (GGA-PBEsol, Alexandria via LeMat-Bulk).

The structure in POSCAR format:
```
ScTeBr4
1.0
-3.368 3.250 3.745
-1.641 -2.277 5.296
2.379 2.163 5.059
Br Sc Te
4 1 1
direct
0.375 0.874 0.375
0.375 0.375 0.375
0.375 0.375 0.874
0.874 0.375 0.375
0.750 0.750 0.750
0.000 0.000 0.000
```

## Properties
* ΔE_f (raw): 0.208 eV per atom

# BaCa2Pt

A relaxed structure of BaCa2Pt (GGA-PBEsol, Alexandria via LeMat-Bulk).

The structure in POSCAR format:
```
BaCa2Pt
1.0
-2.065 3.369 -0.150
-3.781 -2.463 2.939
5.497 1.339 3.418
Ca Ba Pt
2 1 1
direct
0.500 0.500 0.500
0.000 0.000 0.500
0.500 0.000 0.000
0.000 0.500 0.000
```

## Properties
* excess energy over the best structure of this formula in the dataset: 457 meV per atom
* calculated formation energy: 0.0393 eV/atom

# YCdP2

A relaxed structure of YCdP2 (GGA-PBEsol, Alexandria via LeMat-Bulk).

The structure in POSCAR format:
```
YCdP2
1.0
4.264 0.000 0.000
2.132 4.377 0.029
2.132 1.261 4.191
Cd P Y
1 2 1
direct
0.000 0.500 0.500
0.731 0.269 0.269
0.269 0.731 0.731
0.500 0.000 0.000
```

## Properties
* calculated formation energy: -0.4328 eV/atom

# TlNiHg2

A relaxed structure of TlNiHg2 (GGA-PBEsol, Alexandria via LeMat-Bulk).

The structure in POSCAR format:
```
TlNiHg2
1.0
4.543 0.000 0.000
0.000 4.135 0.000
0.000 0.000 4.135
Ni Tl Hg
1 1 2
direct
0.500 0.500 0.500
0.500 0.000 0.000
0.000 0.500 0.000
0.000 0.000 0.500
```

## Properties
* excess energy over the best structure of this formula in the dataset: 219 meV per atom
* calculated formation energy: 0.3311 eV/atom

# GdNb5Ag2O15

A relaxed structure of GdNb5Ag2O15 (GGA-PBEsol, Alexandria via LeMat-Bulk).

The structure in POSCAR format:
```
GdNb5Ag2O15
1.0
3.893 0.000 0.000
0.000 12.595 0.000
0.000 0.000 12.595
O Nb Gd Ag
30 10 2 4
direct
0.000 0.273 0.227
0.000 0.841 0.499
0.000 0.227 0.727
0.500 0.684 0.413
0.000 0.054 0.131
0.000 0.659 0.999
0.500 0.816 0.913
0.000 0.727 0.773
0.000 0.773 0.273
0.500 0.087 0.816
0.500 0.000 0.500
0.000 0.131 0.946
0.500 0.500 0.000
0.000 0.001 0.659
0.000 0.341 0.001
0.500 0.184 0.087
0.000 0.446 0.631
0.500 0.316 0.587
0.000 0.999 0.341
0.500 0.913 0.184
0.000 0.946 0.869
0.000 0.869 0.054
0.500 0.413 0.316
0.000 0.369 0.446
0.500 0.587 0.684
0.000 0.501 0.841
0.000 0.499 0.159
0.000 0.631 0.554
0.000 0.159 0.501
0.000 0.554 0.369
0.000 0.500 0.000
0.000 0.288 0.578
0.000 0.578 0.712
0.000 0.422 0.288
0.000 0.000 0.500
0.000 0.712 0.422
0.000 0.788 0.922
0.000 0.078 0.788
0.000 0.212 0.078
0.000 0.922 0.212
0.500 0.500 0.500
0.500 0.000 0.000
0.500 0.186 0.314
0.500 0.686 0.186
0.500 0.314 0.814
0.500 0.814 0.686
```

## Properties
* ΔE_f (raw): -2.255 eV per atom

# YZr2W2

A relaxed structure of YZr2W2 (GGA-PBEsol, Alexandria via LeMat-Bulk).

The structure in POSCAR format:
```
YZr2W2
1.0
-2.299 -3.208 0.044
1.769 -1.313 -3.274
5.008 -1.086 5.520
Zr Y W
2 1 2
direct
0.611 0.611 0.222
0.389 0.389 0.778
0.000 0.000 0.000
0.250 0.750 0.500
0.750 0.250 0.500
```

## Properties
* calculated formation energy: 0.6193 eV/atom

# Be2ZnRu

A relaxed structure of Be2ZnRu (GGA-PBEsol, Alexandria via LeMat-Bulk).

The structure in POSCAR format:
```
Be2ZnRu
1.0
-1.726 -0.189 2.293
1.842 -1.832 1.235
2.525 4.046 2.234
Ru Be Zn
1 2 1
direct
0.000 0.000 0.461
0.000 0.000 0.024
0.500 0.500 0.251
0.500 0.500 0.764
```

## Properties
* calculated formation energy: 0.0040 eV/atom

# BaSO3

A relaxed structure of BaSO3 (GGA-PBEsol, Alexandria via LeMat-Bulk).

The structure in POSCAR format:
```
BaSO3
1.0
4.640 0.000 0.040
0.000 5.481 0.000
-1.875 0.000 6.329
O Ba S
6 2 2
direct
0.267 0.750 0.872
0.181 0.029 0.318
0.819 0.529 0.682
0.733 0.250 0.128
0.181 0.471 0.318
0.819 0.971 0.682
0.341 0.250 0.726
0.659 0.750 0.274
0.923 0.750 0.827
0.077 0.250 0.173
```

## Properties
* ΔE_f (raw): -2.220 eV per atom

# AlSi2Ni5

A relaxed structure of AlSi2Ni5 (GGA-PBEsol, Alexandria via LeMat-Bulk).

The structure in POSCAR format:
```
AlSi2Ni5
1.0
-2.739 -1.179 2.034
2.973 -3.282 2.100
2.318 6.513 6.897
Ni Si Al
10 4 2
direct
0.000 0.448 0.244
0.500 0.784 0.614
0.000 0.552 0.756
0.000 0.500 0.500
0.000 0.052 0.744
0.000 0.948 0.256
0.500 0.716 0.114
0.500 0.284 0.886
0.000 0.000 0.000
0.500 0.216 0.386
0.500 0.194 0.140
0.500 0.306 0.640
0.500 0.806 0.860
0.500 0.694 0.360
0.000 0.000 0.500
0.000 0.500 0.000
```

## Properties
* ΔE_f (raw): -0.562 eV per atom

# NiH5CNCl2O2

A relaxed structure of NiH5CNCl2O2 (GGA-PBEsol, Alexandria via LeMat-Bulk).

The structure in POSCAR format:
```
NiH5CNCl2O2
1.0
6.631 0.002 0.002
-0.905 6.669 -0.043
-0.905 -2.544 6.164
Cl O N H C Ni
4 4 2 10 2 2
direct
0.809 0.178 0.261
0.691 0.739 0.822
0.191 0.822 0.739
0.309 0.261 0.178
0.080 0.831 0.182
0.580 0.182 0.831
0.920 0.169 0.818
0.420 0.818 0.169
0.250 0.328 0.672
0.750 0.672 0.328
0.618 0.714 0.259
0.382 0.286 0.741
0.737 0.504 0.272
0.750 0.326 0.674
0.882 0.741 0.286
0.763 0.728 0.496
0.237 0.272 0.504
0.250 0.674 0.326
0.263 0.496 0.728
0.118 0.259 0.714
0.250 0.774 0.226
0.750 0.226 0.774
0.500 0.000 0.000
0.000 0.000 0.000
```

# KNi3P3O11

A relaxed structure of KNi3P3O11 (GGA-PBEsol, Alexandria via LeMat-Bulk).

The structure in POSCAR format:
```
KNi3P3O11
1.0
9.323 0.000 0.000
0.000 9.805 0.025
0.000 4.822 8.647
O P Ni K
44 12 12 4
direct
0.731 0.529 0.416
0.481 0.296 0.080
0.231 0.971 0.084
0.225 0.687 0.218
0.479 0.465 0.794
0.493 0.000 0.251
0.021 0.965 0.294
0.761 0.205 0.564
0.998 0.333 0.585
0.502 0.833 0.085
0.275 0.187 0.718
0.769 0.029 0.916
0.019 0.796 0.580
0.721 0.852 0.732
0.739 0.705 0.064
0.498 0.167 0.915
0.026 0.318 0.136
0.261 0.295 0.936
0.979 0.035 0.706
0.279 0.148 0.268
0.526 0.182 0.364
0.497 0.674 0.435
0.003 0.174 0.935
0.474 0.818 0.636
0.993 0.500 0.249
0.269 0.471 0.584
0.507 0.000 0.749
0.270 0.344 0.422
0.974 0.682 0.864
0.007 0.500 0.751
0.503 0.326 0.565
0.981 0.204 0.420
0.770 0.156 0.078
0.725 0.813 0.282
0.775 0.313 0.782
0.002 0.667 0.415
0.239 0.795 0.436
0.997 0.826 0.065
0.521 0.535 0.206
0.519 0.704 0.920
0.730 0.656 0.578
0.230 0.844 0.922
0.779 0.352 0.232
0.221 0.648 0.768
0.941 0.351 0.246
0.426 0.310 0.920
0.926 0.190 0.580
0.574 0.690 0.080
0.662 0.671 0.432
0.338 0.329 0.568
0.559 0.851 0.746
0.838 0.171 0.932
0.441 0.149 0.254
0.074 0.810 0.420
0.059 0.649 0.754
0.162 0.829 0.068
0.870 0.492 0.601
0.368 0.823 0.262
0.133 0.140 0.121
0.632 0.177 0.738
0.868 0.677 0.238
0.630 0.992 0.101
0.867 0.860 0.879
0.367 0.640 0.621
0.633 0.360 0.379
0.132 0.323 0.762
0.370 0.008 0.899
0.130 0.508 0.399
0.763 0.000 0.415
0.263 0.500 0.085
0.737 0.500 0.915
0.237 0.000 0.585
```

## Properties
* ΔE_f (raw): -1.714 eV per atom

# MgTlBr2

A relaxed structure of MgTlBr2 (GGA-PBEsol, Alexandria via LeMat-Bulk).

The structure in POSCAR format:
```
MgTlBr2
1.0
-2.254 3.735 3.102
-5.332 0.423 0.236
-2.604 -1.433 4.452
Br Tl Mg
2 1 1
direct
0.250 0.250 0.250
0.750 0.750 0.750
0.000 0.000 0.000
0.500 0.500 0.500
```

## Properties
* ΔE_f (raw): -0.593 eV per atom

# Hf2CoAgS

A relaxed structure of Hf2CoAgS (GGA-PBEsol, Alexandria via LeMat-Bulk).

The structure in POSCAR format:
```
Hf2CoAgS
1.0
-2.732 -1.438 2.534
3.409 -0.963 3.129
-0.515 4.303 1.886
Co Ag S Hf
1 1 1 2
direct
0.500 0.000 0.000
0.500 0.500 0.500
0.000 0.000 0.000
0.000 0.500 0.000
0.000 0.000 0.500
```

## Properties
* ΔE_f (raw): -0.226 eV per atom

# IrWI2N

A relaxed structure of IrWI2N (GGA-PBEsol, Alexandria via LeMat-Bulk).

The structure in POSCAR format:
```
IrWI2N
1.0
3.628 0.000 0.000
0.000 5.463 0.000
0.000 0.000 5.463
I Ir N W
2 1 1 1
direct
0.000 0.500 0.000
0.000 0.000 0.500
0.000 0.000 0.000
0.500 0.000 0.000
0.500 0.500 0.500
```

## Properties
* excess energy over the best structure of this formula in the dataset: 155 meV per atom
* ΔE_f (raw): 1.340 eV per atom

# LiMg3

A relaxed structure of LiMg3 (GGA-PBEsol, Alexandria via LeMat-Bulk).

The structure in POSCAR format:
```
LiMg3
1.0
3.220 0.000 0.000
0.000 5.003 0.000
0.000 0.000 5.276
Mg Li
3 1
direct
0.500 0.000 0.488
0.000 0.500 0.342
0.500 0.500 0.849
0.000 0.000 0.988
```

## Properties
* calculated formation energy: -0.0256 eV/atom

no.,calculated total energy (eV for the cell shown)
1,-26.17
2,-30.77
3,-17.97
4,-28.57
5,-16.36
6,-13.22
7,-21.33
8,-8.60
9,-411.58
10,-49.52
11,-19.74
12,-66.76
13,-101.73
14,-128.13
15,-502.33
16,-10.46
17,-37.57
18,-28.99
19,-7.22